The following is a GGA-PBE calculation of an optimized crystal structure of Ba2TlPb2, from Alexandria.

- offset from the most stable computed form (meV/atom) = 54.4
- energy relative to the elements (eV per atom) = -0.4161
- crystal system = orthorhombic

Cell lengths 5.2032, 7.0026, 10.7962 Å; angles 90.00, 90.00, 90.00 degrees
Space group Immm (No. 71)
Symmetry-distinct sites (fractional):
Ba1 0.0000 0.0000 0.2041
Tl1 0.0000 0.5000 0.0000
Pb1 0.0000 0.2677 0.5000